Compound: CrGeP2O
Source: Alexandria
Functional: PBE+U
Structure: relaxed

Unit cell a=4.834 b=4.834 c=3.542 alpha=90.00 beta=90.00 gamma=90.00
Fractional coordinates of all 5 atoms:
Cr1 0.000 0.000 0.000
Ge1 0.500 0.500 0.500
P1 0.000 0.500 0.000
P2 0.500 0.000 0.000
O1 0.000 0.000 0.500

Computed properties:
E_tot (eV/atom): -5.42
Energy above the lowest structure with this stoichiometry (meV per atom): 0
Space-group type: P4/mmm, No. 123